Record 1
The following is a PBE calculation of a relaxed Sc6C3S crystal, from the Alexandria database.

a = 9.436 Å, b = 3.372 Å, c = 11.436 Å
α = 90.00°, β = 113.91°, γ = 90.00°
Element x y z (fractional)
Sc 0.063 0.250 0.389
Sc 0.086 0.750 0.908
Sc 0.238 0.750 0.247
Sc 0.253 0.250 0.776
Sc 0.417 0.250 0.071
Sc 0.433 0.250 0.576
Sc 0.567 0.750 0.424
Sc 0.583 0.750 0.929
Sc 0.747 0.750 0.224
Sc 0.762 0.250 0.753
Sc 0.914 0.250 0.092
Sc 0.937 0.750 0.611
C 0.003 0.250 0.756
C 0.336 0.750 0.924
C 0.383 0.250 0.368
C 0.617 0.750 0.632
C 0.664 0.250 0.076
C 0.997 0.750 0.244
S 0.205 0.750 0.583
S 0.795 0.250 0.417

Calculated values
The uncorrected formation energy is -749 meV/atom. Its magnetic moment is 0.09 μB per atom. For the density of states at the Fermi level, the calculation gives 9.833 states/eV/cell.



Record 2
The following is a PBE calculation of a relaxed Sc4CS3 crystal, from the Alexandria database.

a = 6.283 Å, b = 6.283 Å, c = 3.562 Å
α = 90.00°, β = 90.00°, γ = 108.93°
Element x y z (fractional)
Sc 0.215 0.215 0.500
Sc 0.227 0.773 0.000
Sc 0.773 0.227 0.000
Sc 0.785 0.785 0.500
C 0.000 0.000 0.000
S 0.000 0.500 0.500
S 0.500 0.000 0.500
S 0.500 0.500 0.000

Calculated values
The uncorrected formation energy is -1628 meV/atom. Its magnetic moment is 0.00 μB per atom. For the density of states at the Fermi level, the calculation gives 2.655 states/eV/cell.



Record 3
The following is a PBE calculation of a relaxed Sc4CS2 crystal, from the Alexandria database.

a = 6.231 Å, b = 6.231 Å, c = 3.538 Å
α = 90.00°, β = 90.00°, γ = 108.67°
Element x y z (fractional)
Sc 0.213 0.213 0.500
Sc 0.225 0.775 0.000
Sc 0.775 0.225 0.000
Sc 0.787 0.787 0.500
C 0.000 0.000 0.000
S 0.000 0.500 0.500
S 0.500 0.000 0.500

Calculated values
The uncorrected formation energy is -1302 meV/atom. Its magnetic moment is 0.00 μB per atom. For the density of states at the Fermi level, the calculation gives 5.170 states/eV/cell.



Record 4
The following is a PBE calculation of a relaxed Sc6C3S2 crystal, from the Alexandria database.

a = 5.912 Å, b = 5.912 Å, c = 6.264 Å
α = 99.10°, β = 99.10°, γ = 119.95°
Element x y z (fractional)
Sc 0.061 0.402 0.205
Sc 0.260 0.260 0.800
Sc 0.402 0.061 0.205
Sc 0.598 0.939 0.795
Sc 0.740 0.740 0.200
Sc 0.939 0.598 0.795
C 0.000 0.000 0.000
C 0.333 0.667 0.000
C 0.667 0.333 0.000
S 0.166 0.834 0.500
S 0.834 0.166 0.500

Calculated values
The uncorrected formation energy is -1107 meV/atom. Its magnetic moment is 0.07 μB per atom. For the density of states at the Fermi level, the calculation gives 3.385 states/eV/cell.



Record 5
The following is a PBE calculation of a relaxed Sc2C2S crystal, from the Alexandria database.

a = 6.838 Å, b = 6.838 Å, c = 6.838 Å
α = 152.48°, β = 152.48°, γ = 39.31°
Element x y z (fractional)
Sc 0.129 0.129 0.000
Sc 0.871 0.871 0.000
C 0.250 0.750 0.500
C 0.750 0.250 0.500
S 0.500 0.500 0.000

Calculated values
The uncorrected formation energy is -144 meV/atom. Its magnetic moment is 0.00 μB per atom. For the density of states at the Fermi level, the calculation gives 0.000 states/eV/cell.



Record 6
The following is a PBE calculation of a relaxed ScCS3 crystal, from the Alexandria database.

a = 4.931 Å, b = 4.931 Å, c = 4.931 Å
α = 90.00°, β = 90.00°, γ = 90.00°
Element x y z (fractional)
Sc 0.000 0.000 0.000
C 0.500 0.500 0.500
S 0.000 0.000 0.500
S 0.000 0.500 0.000
S 0.500 0.000 0.000

Calculated values
The uncorrected formation energy is 1124 meV/atom. Its magnetic moment is 0.12 μB per atom. For the density of states at the Fermi level, the calculation gives 6.006 states/eV/cell.



Record 7
The following is a PBE calculation of a relaxed ScCS3 crystal, from the Alexandria database.

a = 4.175 Å, b = 4.175 Å, c = 4.175 Å
α = 90.00°, β = 90.00°, γ = 90.00°
Element x y z (fractional)
Sc 0.000 0.000 0.000
C 0.500 0.500 0.500
S 0.000 0.500 0.500
S 0.500 0.000 0.500
S 0.500 0.500 0.000

Calculated values
The uncorrected formation energy is 267 meV/atom. Its magnetic moment is 0.00 μB per atom. For the density of states at the Fermi level, the calculation gives 1.834 states/eV/cell.



Record 8
The following is a PBE calculation of a relaxed Sc4C2S crystal, from the Alexandria database.

a = 5.845 Å, b = 5.845 Å, c = 11.432 Å
α = 90.00°, β = 90.00°, γ = 146.01°
Element x y z (fractional)
Sc 0.000 0.000 0.000
Sc 0.000 0.000 0.500
Sc 0.261 0.739 0.608
Sc 0.261 0.739 0.892
Sc 0.435 0.565 0.250
Sc 0.565 0.435 0.750
Sc 0.739 0.261 0.108
Sc 0.739 0.261 0.392
C 0.366 0.634 0.062
C 0.366 0.634 0.438
C 0.634 0.366 0.562
C 0.634 0.366 0.938
S 0.110 0.890 0.250
S 0.890 0.110 0.750

Calculated values
The uncorrected formation energy is -920 meV/atom. Its magnetic moment is 0.09 μB per atom. For the density of states at the Fermi level, the calculation gives 7.213 states/eV/cell.



Record 9
The following is a PBE calculation of a relaxed Sc2C2S crystal, from the Alexandria database.

a = 6.578 Å, b = 6.578 Å, c = 3.373 Å
α = 90.00°, β = 90.00°, γ = 90.00°
Element x y z (fractional)
Sc 0.182 0.318 0.000
Sc 0.318 0.818 0.000
Sc 0.682 0.182 0.000
Sc 0.818 0.682 0.000
C 0.073 0.573 0.500
C 0.427 0.073 0.500
C 0.573 0.927 0.500
C 0.927 0.427 0.500
S 0.000 0.000 0.000
S 0.500 0.500 0.000

Calculated values
The uncorrected formation energy is -546 meV/atom. Its magnetic moment is 0.00 μB per atom. For the density of states at the Fermi level, the calculation gives 6.192 states/eV/cell.



Record 10
The following is a PBE calculation of a relaxed ScC2S crystal, from the Alexandria database.

a = 4.947 Å, b = 4.947 Å, c = 4.947 Å
α = 115.84°, β = 115.84°, γ = 97.37°
Element x y z (fractional)
Sc 0.000 0.000 0.000
Sc 0.750 0.250 0.500
C 0.214 0.625 0.089
C 0.375 0.464 0.589
C 0.536 0.125 0.911
C 0.875 0.786 0.411
S 0.250 0.750 0.500
S 0.500 0.500 0.000

Calculated values
The uncorrected formation energy is 700 meV/atom. Its magnetic moment is 0.00 μB per atom. For the density of states at the Fermi level, the calculation gives 1.619 states/eV/cell.



Record 11
The following is a PBE calculation of a relaxed Sc3CS crystal, from the Alexandria database.

a = 4.438 Å, b = 4.438 Å, c = 4.438 Å
α = 90.00°, β = 90.00°, γ = 90.00°
Element x y z (fractional)
Sc 0.000 0.000 0.500
Sc 0.000 0.500 0.000
Sc 0.500 0.000 0.000
C 0.000 0.000 0.000
S 0.500 0.500 0.500

Calculated values
The uncorrected formation energy is -582 meV/atom. Its magnetic moment is 0.00 μB per atom. For the density of states at the Fermi level, the calculation gives 4.698 states/eV/cell.



Record 12
The following is a PBE calculation of a relaxed Sc8C4S3 crystal, from the Alexandria database.

a = 6.977 Å, b = 6.977 Å, c = 6.901 Å
α = 119.49°, β = 119.49°, γ = 90.35°
Element x y z (fractional)
Sc 0.212 0.212 0.459
Sc 0.227 0.227 0.977
Sc 0.233 0.767 0.000
Sc 0.236 0.764 0.500
Sc 0.764 0.236 0.500
Sc 0.767 0.233 0.000
Sc 0.773 0.773 0.023
Sc 0.788 0.788 0.541
C 0.000 0.000 0.000
C 0.000 0.000 0.500
C 0.000 0.500 0.000
C 0.500 0.000 0.000
S 0.000 0.500 0.500
S 0.500 0.000 0.500
S 0.500 0.500 0.500

Calculated values
The uncorrected formation energy is -1017 meV/atom. Its magnetic moment is 0.04 μB per atom. For the density of states at the Fermi level, the calculation gives 5.795 states/eV/cell.



Listing calculated total energy for the structures above in their given order: -7.7278, -7.4946, -7.4174, -7.8265, -7.1913, -4.4634, -5.3206, -7.7630, -7.5937, -6.5262, -7.0513, -7.6788 eV per atom.